1.
Density functional theory data (GGA-PBE) for a relaxed VFeSb2Te crystal.

Output
- ΔE to the lowest computed polymorph (eV per atom) = 0.1286
- formation energy (no corrections) (eV/atom) = 0.8089

abc: 5.1214 5.1214 5.1144
angles: 90.00 90.00 90.00
With the nearest neighbours (Å) after each atom.
Sites, in units of the cell vectors:
Sb 0.5000 0.0000 0.0000  2 V 2.56
Sb 0.0000 0.5000 0.0000  2 V 2.56
V 0.0000 0.0000 0.0000  2 Te 2.56, 4 Sb 2.56
Te 0.0000 0.0000 0.5000  2 V 2.56
Fe 0.5000 0.5000 0.5000  8 Sb 3.62, 4 Te 3.62


2.
Density functional theory data (GGA-PBE) for a relaxed Nd5Dy4Er2 crystal.

Output
- ΔE to the lowest computed polymorph (eV per atom) = 0.0000
- ΔE_f (meV per atom) = 75

abc: 3.5551 11.6396 9.0222
angles: 93.91 101.36 90.00
With the nearest neighbours (Å) after each atom.
Sites, in units of the cell vectors:
Nd 0.9029 0.4642 0.8058  4 Dy 3.30-3.54, 3 Er 3.47-3.56, 3 Nd 3.48-3.56
Nd 0.8230 0.9288 0.6461  4 Dy 3.44-3.69, 6 Nd 3.56-3.65, 2 Er 3.75
Nd 0.1770 0.0712 0.3539  4 Dy 3.44-3.69, 6 Nd 3.56-3.65, 2 Er 3.75
Nd 0.0971 0.5358 0.1942  4 Dy 3.30-3.54, 3 Er 3.47-3.56, 3 Nd 3.48-3.56
Nd 0.5000 0.0000 0.0000  6 Dy 3.54-3.57, 6 Nd 3.56-3.65
Dy 0.3592 0.2053 0.7184  6 Nd 3.48-3.69, 4 Dy 3.56-3.62, 2 Er 3.63
Dy 0.9636 0.7391 0.9272  5 Nd 3.30-3.54, 4 Dy 3.56-3.62
Dy 0.6408 0.7947 0.2816  6 Nd 3.48-3.69, 4 Dy 3.56-3.62, 2 Er 3.63
Dy 0.0364 0.2609 0.0728  5 Nd 3.30-3.54, 4 Dy 3.56-3.62
Er 0.7156 0.3531 0.4313  5 Nd 3.47-3.75, 2 Er 3.56, 4 Dy 3.63-3.73
Er 0.2844 0.6469 0.5687  5 Nd 3.47-3.75, 2 Er 3.56, 4 Dy 3.63-3.73


3.
Density functional theory data (GGA-PBE) for a relaxed AcLaHgBi crystal.

Output
- ΔE_f (meV per atom) = -603

abc: 5.7187 5.7187 5.7187
angles: 60.00 60.00 60.00
With the nearest neighbours (Å) after each atom.
Sites, in units of the cell vectors:
La 0.5000 0.5000 0.5000  4 Hg 3.50, 4 Bi 3.50
Hg 0.7500 0.7500 0.7500  4 Ac 3.50, 4 La 3.50
Ac 0.0000 0.0000 0.0000  4 Bi 3.50, 4 Hg 3.50
Bi 0.2500 0.2500 0.2500  4 La 3.50, 4 Ac 3.50


4.
Density functional theory data (GGA-PBE) for a relaxed RbCa3Co crystal.

Output
- ΔE to the lowest computed polymorph (eV per atom) = 1.5346
- ΔE_f (meV per atom) = 1781

abc: 5.7975 5.7975 5.7975
angles: 90.00 90.00 90.00
With the nearest neighbours (Å) after each atom.
Sites, in units of the cell vectors:
Ca 0.0000 0.0000 0.5000  2 Rb 2.90
Ca 0.0000 0.5000 0.0000  2 Rb 2.90
Ca 0.5000 0.0000 0.0000  2 Rb 2.90
Co 0.5000 0.5000 0.5000  12 Ca 4.10
Rb 0.0000 0.0000 0.0000  6 Ca 2.90


5.
Density functional theory data (GGA-PBE) for a relaxed MnCr2Ru crystal.

Output
- ΔE to the lowest computed polymorph (eV per atom) = 0.1544
- ΔE_f (meV per atom) = 220

abc: 8.4410 8.4410 8.4410
angles: 17.75 17.75 17.75
With the nearest neighbours (Å) after each atom.
Sites, in units of the cell vectors:
Cr 0.5037 0.5037 0.5037  3 Mn 2.49, 6 Cr 2.60, 3 Ru 2.64
Cr 0.9963 0.9963 0.9963  3 Mn 2.49, 6 Cr 2.60, 3 Ru 2.64
Ru 0.7500 0.7500 0.7500  6 Ru 2.60, 6 Cr 2.64
Mn 0.2500 0.2500 0.2500  6 Cr 2.49, 6 Mn 2.60


6.
Density functional theory data (GGA-PBE) for a relaxed PtRhAu crystal.

Output
- ΔE to the lowest computed polymorph (eV per atom) = 0.0042
- ΔE_f (meV per atom) = 94

abc: 6.3838 6.3838 6.3838
angles: 154.52 154.52 36.34
With the nearest neighbours (Å) after each atom.
Sites, in units of the cell vectors:
Au 0.0019 0.0019 0.0000  4 Au 2.82, 4 Rh 2.87, 4 Pt 2.92
Rh 0.6722 0.6722 0.0000  4 Pt 2.73, 4 Rh 2.82, 4 Au 2.87
Pt 0.3259 0.3259 0.0000  4 Rh 2.73, 4 Pt 2.82, 4 Au 2.92


DFT total energy / hartree per atom: -0.183; -0.169; -0.144; -0.038; -0.338; -0.201